(1)
{
  "formula": "BaScBe2",
  "functional": "PBE-GGA",
  "state": "relaxed",
  "cell": [[3.5234, 0.0000, 0.0000], [0.0000, 3.4936, 0.0095], [0.0000, 3.4826, 7.2021]],
  "species": ["Be", "Sc", "Ba", "Be"],
  "fractional_positions": [[0.0000, 0.5923, 0.4082], [0.5000, 0.2500, 0.2500], [0.5000, 0.7500, 0.7500], [0.0000, 0.9077, 0.0918]],
  "sg": "No. 10",
  "energy_ev_per_cell": -14.534,
  "e_above_lowest_polymorph_mev_per_atom": 50,
  "ef_ev_per_atom": 0.2931
}

---

(2)
{
  "formula": "YGaCu2Br",
  "functional": "PBE-GGA",
  "state": "relaxed",
  "cell": [[-0.1861, 4.1705, 1.8208], [-0.8846, -1.8207, 4.0799], [5.5421, -0.2321, 1.0980]],
  "species": ["Cu", "Cu", "Ga", "Br", "Y"],
  "fractional_positions": [[0.0000, 0.5000, 0.0000], [0.5000, 0.0000, 0.0000], [0.0000, 0.0000, 0.0000], [0.5000, 0.5000, 0.5000], [0.0000, 0.0000, 0.5000]],
  "sg": "No. 123",
  "energy_ev_per_cell": -19.507,
  "e_form_raw_ev_per_atom": -0.030
}

---

(3)
{
  "formula": "Pr2Dy7Th",
  "functional": "PBE-GGA",
  "state": "relaxed",
  "cell": [[3.4809, 0.0000, 0.0000], [0.0000, 14.0205, -4.7499], [0.0000, -10.5645, 10.3696]],
  "species": ["Dy", "Pr", "Pr", "Dy", "Dy", "Th", "Dy", "Dy", "Dy", "Dy"],
  "fractional_positions": [[0.5000, 0.3411, 0.1472], [0.5000, 0.2950, 0.7050], [0.5000, 0.7050, 0.2950], [0.5000, 0.5000, 0.5000], [0.0000, 0.1857, 0.8143], [0.0000, 0.0000, 0.0000], [0.5000, 0.8528, 0.6589], [0.0000, 0.8143, 0.1857], [0.5000, 0.1472, 0.3411], [0.5000, 0.6589, 0.8528]],
  "sg": "No. 65",
  "energy_ev_per_cell": -47.590,
  "ef_ev_per_atom": 0.1604
}

---

(4)
{
  "formula": "Ca2LaBiN",
  "functional": "PBE-GGA",
  "state": "relaxed",
  "cell": [[-2.9955, 3.0005, 2.6244], [-2.7337, -3.9356, 1.3793], [2.9381, -0.6179, 4.0600]],
  "species": ["Ca", "La", "N", "Bi", "Ca"],
  "fractional_positions": [[0.5000, 0.0000, 0.0000], [0.0000, 0.0000, 0.5000], [0.0000, 0.0000, 0.0000], [0.5000, 0.5000, 0.5000], [0.0000, 0.5000, 0.0000]],
  "sg": "No. 123",
  "energy_ev_per_cell": -26.020,
  "e_form_raw_ev_per_atom": -0.977
}

---

(5)
{
  "formula": "MnTe2PtI",
  "functional": "PBE-GGA",
  "state": "relaxed",
  "cell": [[5.3085, 0.0000, 0.0000], [0.0000, 5.3085, 0.0000], [0.0000, 0.0000, 5.4544]],
  "species": ["Te", "I", "Pt", "Te", "Mn"],
  "fractional_positions": [[0.5000, 0.0000, 0.0000], [0.0000, 0.0000, 0.5000], [0.0000, 0.0000, 0.0000], [0.0000, 0.5000, 0.0000], [0.5000, 0.5000, 0.5000]],
  "sg": "No. 123",
  "energy_ev_per_cell": -17.416,
  "e_form_raw_ev_per_atom": 1.126,
  "e_above_lowest_polymorph_mev_per_atom": 263
}

---

(6)
{
  "formula": "LaPmSeS",
  "functional": "PBE-GGA",
  "state": "relaxed",
  "cell": [[4.1648, 0.0000, 0.0000], [2.0824, 3.6069, 0.0000], [2.0824, 1.2023, 6.8599]],
  "species": ["La", "Se", "Pm", "S"],
  "fractional_positions": [[0.9934, 0.9934, 0.0199], [0.7525, 0.7525, 0.7424], [0.5070, 0.5070, 0.4789], [0.2471, 0.2471, 0.2587]],
  "sg": "No. 160",
  "energy_ev_per_cell": -25.368,
  "e_form_raw_ev_per_atom": -2.019
}

---

(7)
{
  "formula": "PaP2O8",
  "functional": "PBE-GGA",
  "state": "relaxed",
  "cell": [[5.3281, 0.2707, 0.2316], [1.0083, 5.7483, 1.0758], [1.0083, 1.9539, 5.5121]],
  "species": ["O", "Pa", "O", "P", "O", "O", "O", "O", "O", "O", "P"],
  "fractional_positions": [[0.7918, 0.0809, 0.6732], [0.0000, 0.0000, 0.0000], [0.7700, 0.6555, 0.6555], [0.6833, 0.8076, 0.8076], [0.2300, 0.3445, 0.3445], [0.2082, 0.9191, 0.3268], [0.6188, 0.1480, 0.1480], [0.7918, 0.6732, 0.0809], [0.3812, 0.8520, 0.8520], [0.2082, 0.3268, 0.9191], [0.3167, 0.1924, 0.1924]],
  "sg": "No. 12",
  "energy_ev_per_cell": -85.140,
  "e_form_raw_ev_per_atom": -2.287
}

---

(8)
{
  "formula": "Pm4Y2Mg",
  "functional": "PBE-GGA",
  "state": "relaxed",
  "cell": [[-5.5694, 2.4631, -0.8717], [-1.2877, -4.5615, -4.6619], [-1.3912, -8.0282, 8.2394]],
  "species": ["Pm", "Pm", "Y", "Pm", "Y", "Y", "Mg", "Pm", "Pm", "Pm", "Y", "Pm", "Pm", "Mg"],
  "fractional_positions": [[0.8553, 0.2500, 0.5553], [0.3560, 0.4959, 0.7165], [0.2866, 0.2500, 0.4225], [0.6440, 0.5041, 0.2835], [0.6067, 0.7500, 0.9982], [0.7134, 0.7500, 0.5775], [0.1488, 0.7500, 0.1669], [0.0334, 0.7500, 0.8769], [0.1447, 0.7500, 0.4447], [0.9666, 0.2500, 0.1231], [0.3933, 0.2500, 0.0018], [0.3560, 0.0041, 0.7165], [0.6440, 0.9959, 0.2835], [0.8512, 0.2500, 0.8331]],
  "sg": "No. 11",
  "energy_ev_per_cell": -65.759,
  "e_above_lowest_polymorph_mev_per_atom": 69,
  "ef_ev_per_atom": 0.0922
}